CsV2PtO8 | PBE with a Hubbard U | relaxed

Properties
SG = P-3
Calculated total energy = -6.543 eV/atom
D(E_F) = 7.944 states/eV per cell

Structure (CIF):
```
data_CsV2PtO8
_cell_length_a 5.3608
_cell_length_b 5.3608
_cell_length_c 8.6930
_cell_angle_alpha 90.00
_cell_angle_beta 90.00
_cell_angle_gamma 120.00
_space_group_name_H-M_alt 'P 1'
_space_group_IT_number 1
loop_
_space_group_symop_operation_xyz
'x,y,z'
loop_
_atom_site_label
_atom_site_fract_x
_atom_site_fract_y
_atom_site_fract_z
Cs1 0.0000 0.0000 0.0000
V1 0.3333 0.6667 0.6907
V2 0.6667 0.3333 0.3093
Pt1 0.0000 0.0000 0.5000
O1 0.0530 0.3214 0.6332
O2 0.2684 0.9470 0.6332
O3 0.3214 0.2684 0.3668
O4 0.3333 0.6667 0.8824
O5 0.6667 0.3333 0.1176
O6 0.6786 0.7316 0.6332
O7 0.7316 0.0530 0.3668
O8 0.9470 0.6786 0.3668
```